# 1
Na2NiIO6: optimized geometry, GGA+U.

Values from the calculation:
* space-group type: C2/m, No. 12
* E_tot: -44.90 eV per formula unit

Cell: 5.4769 5.4751 5.4750 Å, 60.66 60.72 91.18°
Fractional coordinates of all 10 atoms:
Na 0.2370 0.7496 0.5127
Na 0.7630 0.2504 0.4873
Ni 0.0000 0.0000 0.0000
I 0.5000 0.5000 0.0000
O 0.2159 0.6898 0.9945
O 0.6425 0.7379 0.0951
O 0.2174 0.2097 0.4738
O 0.7841 0.3102 0.0055
O 0.3575 0.2621 0.9049
O 0.7826 0.7903 0.5262

# 2
NaNiI2O: optimized geometry, GGA+U.

Values from the calculation:
* space-group type: P4/mmm, No. 123
* relative energy among the computed polymorphs: 3.94 eV per formula unit
* E_tot: -10.04 eV per formula unit

Cell: 5.8624 5.8624 4.2474 Å, 90.00 90.00 90.00°
Fractional coordinates of all 5 atoms:
I 0.0000 0.5000 0.0000
I 0.5000 0.0000 0.0000
Ni 0.5000 0.5000 0.5000
O 0.0000 0.0000 0.5000
Na 0.0000 0.0000 0.0000

# 3
NaNiIO6: optimized geometry, GGA+U.

Values from the calculation:
* space-group type: P312, No. 149
* E_tot: -40.87 eV per formula unit

Cell: 4.9950 4.9950 5.2871 Å, 90.01 90.00 60.00°
Fractional coordinates of all 9 atoms:
I 0.6667 0.6667 0.5000
Ni 0.3333 0.3333 0.5000
O 0.6244 0.3728 0.2984
O 0.0028 0.3728 0.7016
O 0.3728 0.6244 0.7016
O 0.6244 0.0028 0.7016
O 0.3728 0.0028 0.2984
O 0.0028 0.6244 0.2984
Na 0.0000 0.0000 0.0000

# 4
Na4Ni3IO8: optimized geometry, GGA+U.

Values from the calculation:
* space-group type: R-3m, No. 166
* E_tot: -71.82 eV per formula unit

Cell: 6.2447 6.4843 6.2481 Å, 118.81 119.98 90.00°
Fractional coordinates of all 16 atoms:
Na 0.5000 0.0000 0.0000
Na 0.5000 0.0000 0.5000
Na 0.0000 0.0000 0.0000
Na 0.0000 0.0000 0.5000
Ni 0.5000 0.5000 0.0000
Ni 0.5000 0.5000 0.5000
Ni 0.0000 0.5000 0.5000
I 0.0000 0.5000 0.0000
O 0.2264 0.7088 0.9825
O 0.2263 0.7086 0.4526
O 0.2696 0.3089 0.5393
O 0.7561 0.7088 0.9825
O 0.2439 0.2912 0.0175
O 0.7304 0.6911 0.4607
O 0.7737 0.2914 0.5474
O 0.7736 0.2912 0.0175

# 5
Na2NiIO4: optimized geometry, GGA+U.

Values from the calculation:
* space-group type: P1, No. 1
* E_tot: -32.59 eV per formula unit

Cell: 5.8767 5.7130 5.7045 Å, 121.34 128.57 87.95°
Fractional coordinates of all 8 atoms:
Na 0.4994 0.9845 0.9821
Na 0.2489 0.2637 0.4733
Ni 0.9877 0.4924 0.9849
I 0.7685 0.6721 0.5091
O 0.7966 0.7616 0.9274
O 0.7686 0.3991 0.0935
O 0.1322 0.5936 0.8058
O 0.1851 0.2200 0.9981

# 6
NaNi2IO6: optimized geometry, GGA+U.

Values from the calculation:
* space-group type: R3, No. 146
* E_tot: -46.58 eV per formula unit

Cell: 5.6928 5.6928 5.6928 Å, 55.01 55.01 55.01°
Fractional coordinates of all 10 atoms:
Na 0.4896 0.4896 0.4896
Ni 0.2061 0.2061 0.2061
Ni 0.6940 0.6940 0.6940
I 0.0095 0.0095 0.0095
O 0.3897 0.0604 0.8293
O 0.0604 0.8293 0.3897
O 0.9305 0.2578 0.6335
O 0.6335 0.9305 0.2578
O 0.8293 0.3897 0.0604
O 0.2578 0.6335 0.9305

# 7
NaNiI2O: optimized geometry, GGA+U.

Values from the calculation:
* space-group type: P4/mmm, No. 123
* relative energy among the computed polymorphs: 0.00 eV per formula unit
* E_tot: -13.98 eV per formula unit

Cell: 6.0045 6.0045 3.5653 Å, 90.00 90.00 90.00°
Fractional coordinates of all 5 atoms:
I 0.0000 0.5000 0.0000
I 0.5000 0.0000 0.0000
Ni 0.0000 0.0000 0.0000
O 0.0000 0.0000 0.5000
Na 0.5000 0.5000 0.5000

Total moment in μB per formula unit, matching the order above: 3.07, 3.03, 0.00, 6.69, 0.01, 4.00, 2.47